Here is a relaxed structure of Mo5O12F3 from Alexandria via LeMat-Bulk. Energies are from PBE+U.

Cell: 5.6229 6.8012 8.5899 Å, 76.73 71.13 89.75°
Sites, in units of the cell vectors:
Mo1 0.0000 0.0000 0.0000
Mo2 0.1124 0.8066 0.5985
Mo3 0.4164 0.6295 0.1916
Mo4 0.5305 0.4202 0.7960
Mo5 0.7652 0.2227 0.3922
O1 0.0804 0.9059 0.7897
O2 0.1670 0.8151 0.0967
O3 0.2762 0.7176 0.4018
O4 0.2880 0.2090 0.8925
O5 0.3636 0.6010 0.6991
O6 0.4843 0.5074 0.9916
O7 0.5795 0.4264 0.2947
O8 0.6680 0.8256 0.0899
O9 0.6860 0.3117 0.5948
O10 0.8629 0.6093 0.6933
O11 0.8764 0.1222 0.1989
O12 0.9585 0.0039 0.5006
F1 0.0830 0.4258 0.2913
F2 0.4610 0.0193 0.4948
F3 0.7942 0.2117 0.8923

Calculated values
Its total energy is -6.779 eV/atom.